1.
Computed, not measured: an optimized crystal structure of TmMgZr at the GGA-PBE level of DFT.

Unit cell a=5.7540 b=3.3190 c=16.0884 alpha=90.00 beta=90.00 gamma=90.00
Closest atoms and distances in Å follow each position.
Space group C2/m (No. 12)
Inequivalent atoms, fractional coordinates:
Tm1 0.0015 0.0000 0.2435 (multiplicity 4)  3 Zr 3.25-3.26, 6 Tm 3.32, 3 Mg 3.41
Mg1 0.1657 0.5000 0.5810 (multiplicity 4)  9 Mg 3.23-3.32, 3 Tm 3.41
Zr1 0.1665 0.5000 0.9199 (multiplicity 4)  9 Zr 3.21-3.32, 3 Tm 3.25-3.26

Properties
**Magnetization**: 0.0 μB/f.u.
**Fermi-level density of states**: 12.8 states/eV/cell
**Offset from the most stable computed form**: 56.7 meV per atom

=====

2.
Computed, not measured: an optimized crystal structure of Ti2BiBBr at the GGA-PBE level of DFT.

Unit cell a=5.5016 b=5.5016 c=4.5849 alpha=90.00 beta=90.00 gamma=90.00
Closest atoms and distances in Å follow each position.
Space group P4/mmm (No. 123)
Inequivalent atoms, fractional coordinates:
Ti1 0.0000 0.5000 0.0000 (multiplicity 2)  2 Bi 2.75
Bi1 0.0000 0.0000 0.0000 (multiplicity 1)  2 B 2.29
B1 0.0000 0.0000 0.5000 (multiplicity 1)  2 Bi 2.29
Br1 0.5000 0.5000 0.5000 (multiplicity 1)  8 Ti 3.58, 4 B 3.89

Properties
**Raw formation energy**: 6.73 eV per formula unit
**Magnetization**: 4.3 μB/f.u.
**Fermi-level density of states**: 5.5 states/eV/cell

=====

Number 1: calculated density 6150 kg/m3. Number 2: calculated density 4732 kg/m3.